Here is an optimized crystal structure of CoSnSeO from the Open Quantum Materials Database. Energies are from PBE+U.

a = 6.0055 Å, b = 9.1404 Å, c = 5.8483 Å
α = 90.00°, β = 90.00°, γ = 90.00°
Atoms (fractional coordinates):
Co 0.1108 0.0626 0.4669
Co 0.6108 0.9374 0.4669
Co 0.3892 0.0626 0.9669
Co 0.8892 0.9374 0.9669
O 0.0871 0.0788 0.1171
O 0.5871 0.9212 0.1171
O 0.4129 0.0788 0.6171
O 0.9129 0.9212 0.6171
Se 0.5171 0.3094 0.0850
Se 0.0171 0.6906 0.0850
Se 0.9829 0.3094 0.5850
Se 0.4829 0.6906 0.5850
Sn 0.0130 0.3217 0.0810
Sn 0.5130 0.6783 0.0810
Sn 0.4870 0.3217 0.5810
Sn 0.9870 0.6783 0.5810

As for the space-group type: Pca2_1, No. 29. The volume is 321.0 Å³ per cell. The value obtained for the energy above the most stable polymorph in this dataset is 0.00 eV/f.u.